{"formula": "MnZn2W", "functional": "GGA-PBE", "state": "optimized geometry", "relative_energy_ev_per_fu": 0.00, "delta_e_f_ev_per_atom": 0.1468, "final_energy_ev_per_atom": -6.021, "volume_a3_per_fu": 58, "lattice_angstrom": [[1.704, -2.057, 0.000], [1.704, 2.057, 0.000], [0.000, 0.000, 8.218]], "species": ["Mn", "Zn", "Zn", "W"], "fractional_positions": [[0.000, 0.000, 0.000], [0.000, 0.000, 0.492], [0.500, 0.500, 0.237], [0.500, 0.500, 0.755]]}